No. 1
# KTl2Se | the Alexandria database | PBE | relaxed
# **Relative energy among the computed polymorphs**: 177 meV/atom
# **V**: 142 Å³/f.u.
# **Uncorrected energy**: -31.7 eV per cell
data_KTl2Se
_space_group_name_H-M_alt 'R -3 m'
_space_group_IT_number 166
_space_group_name_Hall '-R 3 2"'
_cell_length_a 5.0972
_cell_length_b 5.0972
_cell_length_c 18.9698
_cell_angle_alpha 90.00
_cell_angle_beta 90.00
_cell_angle_gamma 120.00
loop_
_atom_site_label
_atom_site_fract_x
_atom_site_fract_y
_atom_site_fract_z
K1 0.0000 0.0000 0.0000
Tl1 0.0000 0.0000 0.2261
Se1 0.0000 0.0000 0.5000

No. 2
# KTl2Se | the Alexandria database | PBE | relaxed
# **Relative energy among the computed polymorphs**: 24 meV/atom
# **V**: 125 Å³/f.u.
# **Uncorrected energy**: -22.3 eV per cell
data_KTl2Se
_space_group_name_H-M_alt 'I m m m'
_space_group_IT_number 71
_space_group_name_Hall '-I 2 2'
_cell_length_a 3.940
_cell_length_b 5.496
_cell_length_c 11.557
_cell_angle_alpha 90.00
_cell_angle_beta 90.00
_cell_angle_gamma 90.00
loop_
_atom_site_label
_atom_site_fract_x
_atom_site_fract_y
_atom_site_fract_z
K1 0.000 0.000 0.000
Tl1 0.000 0.500 0.209
Se1 0.000 0.000 0.500

No. 3
# KTlSe2 | the Alexandria database | PBE | relaxed
# **Relative energy among the computed polymorphs**: 186 meV/atom
# **V**: 121 Å³/f.u.
# **Uncorrected energy**: -12.3 eV per cell
data_KTlSe2
_space_group_name_H-M_alt 'P 1 m 1'
_space_group_IT_number 6
_cell_length_a 3.234
_cell_length_b 5.686
_cell_length_c 6.774
_cell_angle_alpha 90.00
_cell_angle_beta 103.72
_cell_angle_gamma 90.00
loop_
_space_group_symop_operation_xyz
'x,y,z'
'x,-y,z'
loop_
_atom_site_label
_atom_site_fract_x
_atom_site_fract_y
_atom_site_fract_z
K1 0.000 0.000 0.000
Tl1 0.231 0.500 0.465
Se1 0.271 0.000 0.541
Se2 0.542 0.500 0.083

No. 4
# KTlSe2 | the Alexandria database | PBE | relaxed
# **Relative energy among the computed polymorphs**: 340 meV/atom
# **V**: 144 Å³/f.u.
# **Uncorrected energy**: -35.1 eV per cell
data_KTlSe2
_space_group_name_H-M_alt 'R -3 m'
_space_group_IT_number 166
_space_group_name_Hall '-R 3 2"'
_cell_length_a 4.2605
_cell_length_b 4.2605
_cell_length_c 27.5321
_cell_angle_alpha 90.00
_cell_angle_beta 90.00
_cell_angle_gamma 120.00
loop_
_atom_site_label
_atom_site_fract_x
_atom_site_fract_y
_atom_site_fract_z
K1 0.0000 0.0000 0.0000
Tl1 0.0000 0.0000 0.5000
Se1 0.0000 0.0000 0.1107